Material: LaSm5DyHo2
Method: DFT, PBE
State: relaxed

Cell lengths 5.6910, 10.4652, 10.6358 Å; angles 90.00, 90.00, 105.78 degrees
Element x y z (fractional)
Sm (0.7193, 0.4387, 0.8140)
Sm (0.0171, 0.0341, 0.0239)
Sm (0.2807, 0.5613, 0.3140)
Sm (0.9829, 0.9659, 0.5239)
Sm (0.5204, 0.0407, 0.2394)
Sm (0.2968, 0.5936, 0.7076)
Sm (0.7032, 0.4064, 0.2076)
Sm (0.3860, 0.7721, 0.0237)
Sm (0.4796, 0.9593, 0.7394)
Sm (0.6140, 0.2279, 0.5237)
Ho (0.1151, 0.2302, 0.3194)
Ho (0.8870, 0.7741, 0.2333)
Ho (0.1130, 0.2259, 0.7333)
Ho (0.8849, 0.7698, 0.8194)
La (0.4165, 0.8330, 0.4509)
La (0.5835, 0.1670, 0.9509)
Dy (0.1997, 0.3994, 0.0117)
Dy (0.8003, 0.6006, 0.5117)

Calculated values
Density of states at the Fermi level   1.601 states/eV/atom
Energy of formation   0.15 eV per atom
Total DFT energy (no corrections)   -81.8 eV per cell

---

Material: Nb3CuPd
Method: DFT, PBE
State: relaxed

Cell lengths 4.6299, 4.6299, 4.6299 Å; angles 90.00, 90.00, 90.00 degrees
Element x y z (fractional)
Nb (0.0000, 0.5000, 0.0000)
Nb (0.0000, 0.0000, 0.5000)
Nb (0.5000, 0.0000, 0.0000)
Cu (0.0000, 0.0000, 0.0000)
Pd (0.5000, 0.5000, 0.5000)

Calculated values
Density of states at the Fermi level   1.263 states/eV/atom
Energy of formation   1.11 eV per atom
Total DFT energy (no corrections)   -34.0 eV per cell
Energy above the most stable polymorph in this dataset   0.0000 eV per atom

---

Material: CaSm4Si4
Method: DFT, PBE
State: relaxed

Cell lengths 5.9489, 9.1267, 9.1267 Å; angles 90.00, 90.00, 90.00 degrees
Element x y z (fractional)
Ca (0.5000, 0.5000, 0.5000)
Ca (0.0000, 0.0000, 0.0000)
Si (0.8604, 0.7282, 0.1400)
Si (0.6396, 0.2282, 0.6400)
Si (0.3604, 0.3600, 0.2282)
Si (0.1396, 0.1400, 0.2718)
Si (0.8604, 0.2718, 0.8600)
Si (0.6396, 0.7718, 0.3600)
Si (0.1396, 0.8600, 0.7282)
Si (0.3604, 0.6400, 0.7718)
Sm (0.8672, 0.5947, 0.8278)
Sm (0.1328, 0.1722, 0.5947)
Sm (0.3672, 0.3278, 0.9053)
Sm (0.6328, 0.9053, 0.6722)
Sm (0.1328, 0.8278, 0.4053)
Sm (0.3672, 0.6722, 0.0947)
Sm (0.8672, 0.4053, 0.1722)
Sm (0.6328, 0.0947, 0.3278)

Calculated values
Density of states at the Fermi level   0.777 states/eV/atom
ΔE_f (raw)   -0.453 eV/atom
Total DFT energy (no corrections)   -93.3 eV per cell

---

Material: Ca2AsW
Method: DFT, PBE
State: relaxed

Cell lengths 9.9770, 9.9770, 9.9770 Å; angles 18.67, 18.67, 18.67 degrees
Site moments in Bohr magnetons follow the coordinates.
Element x y z (fractional)
Ca (0.0017, 0.0017, 0.0017)  0.00
Ca (0.4983, 0.4983, 0.4983)  0.00
W (0.2500, 0.2500, 0.2500)  0.19
As (0.7500, 0.7500, 0.7500)  0.00

Calculated values
Density of states at the Fermi level   0.887 states/eV/atom
Energy of formation   0.40 eV per atom
Total DFT energy (no corrections)   -20.0 eV per cell

---

Material: V3AuSe
Method: DFT, PBE
State: relaxed

Cell lengths 4.8818, 4.8818, 4.8818 Å; angles 90.00, 90.00, 90.00 degrees
Site moments in Bohr magnetons follow the coordinates.
Element x y z (fractional)
V (0.0000, 0.5000, 0.0000)  2.06
V (0.0000, 0.0000, 0.5000)  2.06
V (0.5000, 0.0000, 0.0000)  2.06
Se (0.5000, 0.5000, 0.5000)  -0.19
Au (0.0000, 0.0000, 0.0000)  -0.01

Calculated values
Density of states at the Fermi level   2.190 states/eV/atom
ΔE_f (raw)   1.236 eV/atom
Total DFT energy (no corrections)   -27.9 eV per cell
Energy above the most stable polymorph in this dataset   0.6972 eV per atom

---

Material: BPS2N
Method: DFT, PBE
State: relaxed

Cell lengths 5.2227, 5.2227, 2.6375 Å; angles 90.00, 90.00, 90.00 degrees
Element x y z (fractional)
P (0.5000, 0.5000, 0.5000)
N (0.0000, 0.0000, 0.5000)
B (0.0000, 0.0000, 0.0000)
S (0.0000, 0.5000, 0.0000)
S (0.5000, 0.0000, 0.0000)

Calculated values
Density of states at the Fermi level   0.659 states/eV/atom
ΔE_f (raw)   0.653 eV/atom
Total DFT energy (no corrections)   -25.4 eV per cell
Energy above the most stable polymorph in this dataset   0.0000 eV per atom

---

Material: TiNi5H6
Method: DFT, PBE
State: relaxed

Cell lengths 4.6299, 4.6465, 4.6329 Å; angles 59.90, 80.90, 71.62 degrees
Element x y z (fractional)
H (0.2744, 0.2664, 0.0000)
H (0.2630, 0.5466, 0.3531)
H (0.7370, 0.1003, 0.3531)
H (0.7370, 0.4534, 0.6469)
H (0.7256, 0.7336, 0.0000)
H (0.2630, 0.8997, 0.6469)
Ni (0.0000, 0.3316, 0.3368)
Ni (0.0000, 0.6684, 0.6632)
Ni (0.5000, 0.1594, 0.6812)
Ni (0.5000, 0.5000, 0.0000)
Ni (0.5000, 0.8406, 0.3188)
Ti (0.0000, 0.0000, 0.0000)

Calculated values
Density of states at the Fermi level   0.388 states/eV/atom
Total DFT energy (no corrections)   -58.8 eV per cell

---

Material: MgAl2Ag5
Method: DFT, PBE
State: relaxed

Cell lengths 6.5412, 6.5412, 5.6737 Å; angles 125.67, 125.67, 89.73 degrees
Element x y z (fractional)
Al (0.2221, 0.7221, 0.4442)
Al (0.7221, 0.2221, 0.4441)
Ag (0.2215, 0.2215, 0.9442)
Ag (0.7227, 0.7227, 0.9445)
Ag (0.7228, 0.2217, 0.9444)
Ag (0.7208, 0.7208, 0.4419)
Ag (0.2217, 0.7228, 0.9444)
Mg (0.2233, 0.2233, 0.4463)

Calculated values
Density of states at the Fermi level   0.189 states/eV/atom
Energy of formation   -0.10 eV per atom
Total DFT energy (no corrections)   -24.1 eV per cell

---

Material: Pm2ZnGa5
Method: DFT, PBE
State: relaxed

Cell lengths 6.1518, 6.1518, 6.1518 Å; angles 89.52, 120.28, 120.28 degrees
Element x y z (fractional)
Ga (0.0000, 0.2909, 0.7581)
Ga (0.4672, 0.7581, 0.7581)
Ga (0.0000, 0.7581, 0.2909)
Ga (0.0000, 0.2426, 0.2426)
Ga (0.5328, 0.2909, 0.2909)
Zn (0.0000, 0.8314, 0.8314)
Pm (0.5000, 0.7750, 0.2750)
Pm (0.5000, 0.2750, 0.7750)

Calculated values
Density of states at the Fermi level   0.373 states/eV/atom
Energy of formation   -0.49 eV per atom
Total DFT energy (no corrections)   -29.8 eV per cell

---

Material: Ba3Ce3SmSe8
Method: DFT, PBE
State: relaxed

Cell lengths 8.6790, 8.6785, 9.0773 Å; angles 118.56, 90.00, 120.00 degrees
Site moments in Bohr magnetons follow the coordinates.
Element x y z (fractional)
Se (0.2587, 0.5175, 0.2765)  -0.02
Se (0.2375, 0.9791, 0.7167)  -0.01
Se (0.7625, 0.0209, 0.2833)  -0.01
Se (0.2374, 0.4747, 0.7168)  -0.01
Se (0.7417, 0.9791, 0.7167)  -0.01
Se (0.2583, 0.0209, 0.2833)  -0.01
Se (0.7626, 0.5253, 0.2832)  -0.01
Se (0.7413, 0.4825, 0.7235)  -0.02
Ce (0.0000, 0.5000, 0.5000)  1.03
Ce (0.5000, 0.0000, 0.5000)  1.03
Ce (0.5000, 0.5000, 0.5000)  1.03
Ba (0.0000, 0.0000, 0.0000)  0.02
Ba (0.5000, 0.5000, 0.0000)  0.02
Ba (0.0000, 0.5000, 0.0000)  0.02
Sm (0.0000, 0.0000, 0.5000)  0.04

Calculated values
Density of states at the Fermi level   1.679 states/eV/atom
ΔE_f (raw)   -1.886 eV/atom
Total DFT energy (no corrections)   -84.5 eV per cell

---

> Which of these has the highest total DFT energy (no corrections)?

Ca2AsW

---

Copy entry 8 word for word.
Material: MgAl2Ag5
Method: DFT, PBE
State: relaxed

Cell lengths 6.5412, 6.5412, 5.6737 Å; angles 125.67, 125.67, 89.73 degrees
Element x y z (fractional)
Al (0.2221, 0.7221, 0.4442)
Al (0.7221, 0.2221, 0.4441)
Ag (0.2215, 0.2215, 0.9442)
Ag (0.7227, 0.7227, 0.9445)
Ag (0.7228, 0.2217, 0.9444)
Ag (0.7208, 0.7208, 0.4419)
Ag (0.2217, 0.7228, 0.9444)
Mg (0.2233, 0.2233, 0.4463)

Calculated values
Density of states at the Fermi level   0.189 states/eV/atom
Energy of formation   -0.10 eV per atom
Total DFT energy (no corrections)   -24.1 eV per cell

---

What did the first record say?
Material: LaSm5DyHo2
Method: DFT, PBE
State: relaxed

Cell lengths 5.6910, 10.4652, 10.6358 Å; angles 90.00, 90.00, 105.78 degrees
Element x y z (fractional)
Sm (0.7193, 0.4387, 0.8140)
Sm (0.0171, 0.0341, 0.0239)
Sm (0.2807, 0.5613, 0.3140)
Sm (0.9829, 0.9659, 0.5239)
Sm (0.5204, 0.0407, 0.2394)
Sm (0.2968, 0.5936, 0.7076)
Sm (0.7032, 0.4064, 0.2076)
Sm (0.3860, 0.7721, 0.0237)
Sm (0.4796, 0.9593, 0.7394)
Sm (0.6140, 0.2279, 0.5237)
Ho (0.1151, 0.2302, 0.3194)
Ho (0.8870, 0.7741, 0.2333)
Ho (0.1130, 0.2259, 0.7333)
Ho (0.8849, 0.7698, 0.8194)
La (0.4165, 0.8330, 0.4509)
La (0.5835, 0.1670, 0.9509)
Dy (0.1997, 0.3994, 0.0117)
Dy (0.8003, 0.6006, 0.5117)

Calculated values
Density of states at the Fermi level   1.601 states/eV/atom
Energy of formation   0.15 eV per atom
Total DFT energy (no corrections)   -81.8 eV per cell